#1
Material: SrSbPdI2
Method: DFT, PBE
State: optimized geometry

Results
- D(E_F): 0.79 states/eV per atom
- Crystal system: tetragonal

```
5
Lattice="5.559 0.000 0.000 0.000 5.559 0.000 0.000 0.000 5.415" Properties=species:S:1:pos:R:3 pbc="T T T"
Sr 0.000 0.000 0.000
Sb 2.779 2.779 0.000
Pd 2.779 2.779 2.708
I 0.000 2.779 2.708
I 2.779 0.000 2.708
```

=====

#2
Material: SrSbPdI2
Method: DFT, PBE
State: optimized geometry

Results
- D(E_F): 2.11 states/eV per atom
- Crystal system: tetragonal

```
5
Lattice="6.295 0.000 0.000 0.000 6.295 0.000 0.000 0.000 6.618" Properties=species:S:1:pos:R:3 pbc="T T T"
Sr 0.000 0.000 0.000
Sb 0.000 0.000 3.309
Pd 3.147 3.147 3.309
I 0.000 3.147 0.000
I 3.147 0.000 0.000
```

=====

Relative energies, unit meV per atom: #1 0; #2 712

=====

#1
Material: TcSbPdI2
Method: DFT, PBE
State: optimized geometry

Results
- D(E_F): 0.50 states/eV per atom
- Crystal system: tetragonal

```
5
Lattice="5.419 0.000 0.000 0.000 5.419 0.000 0.000 0.000 5.358" Properties=species:S:1:pos:R:3 pbc="T T T"
Tc 0.000 0.000 0.000
Sb 2.709 2.709 0.000
Pd 2.709 2.709 2.679
I 0.000 2.709 2.679
I 2.709 0.000 2.679
```

=====

#2
Material: TcSbPdI2
Method: DFT, PBE
State: optimized geometry

Results
- D(E_F): 1.04 states/eV per atom
- Crystal system: tetragonal

```
5
Lattice="5.519 0.000 0.000 0.000 5.519 0.000 0.000 0.000 5.059" Properties=species:S:1:pos:R:3 pbc="T T T"
Tc 0.000 0.000 0.000
Sb 0.000 0.000 2.529
Pd 2.760 2.760 2.529
I 0.000 2.760 0.000
I 2.760 0.000 0.000
```

=====

Relative energies, unit meV per atom: #1 163; #2 0

=====

#1
Material: SbTe2PdI
Method: DFT, PBE
State: optimized geometry

Results
- D(E_F): 1.02 states/eV per atom
- Crystal system: tetragonal

```
5
Lattice="5.310 0.000 0.000 0.000 5.310 0.000 0.000 0.000 5.373" Properties=species:S:1:pos:R:3 pbc="T T T"
Sb 0.000 0.000 0.000
Te 0.000 2.655 2.687
Te 2.655 0.000 2.687
Pd 2.655 2.655 2.687
I 2.655 2.655 0.000
```

=====

#2
Material: SbTe2PdI
Method: DFT, PBE
State: optimized geometry

Results
- D(E_F): 1.33 states/eV per atom
- Crystal system: tetragonal

```
5
Lattice="5.348 0.000 0.000 0.000 5.348 0.000 0.000 0.000 5.333" Properties=species:S:1:pos:R:3 pbc="T T T"
Sb 0.000 0.000 0.000
Te 0.000 2.674 2.667
Te 2.674 0.000 2.667
Pd 0.000 0.000 2.667
I 2.674 2.674 0.000
```

=====

Relative energies, unit meV per atom: #1 0; #2 17

=====

#1
Material: Sb2TePdI
Method: DFT, PBE
State: optimized geometry

Results
- D(E_F): 1.40 states/eV per atom
- Crystal system: tetragonal

```
5
Lattice="5.343 0.000 0.000 0.000 5.343 0.000 0.000 0.000 5.321" Properties=species:S:1:pos:R:3 pbc="T T T"
Sb 0.000 2.672 0.000
Sb 2.672 0.000 0.000
Te 0.000 0.000 2.661
Pd 0.000 0.000 0.000
I 2.672 2.672 2.661
```

=====

#2
Material: Sb2TePdI
Method: DFT, PBE
State: optimized geometry

Results
- D(E_F): 1.11 states/eV per atom
- Crystal system: tetragonal

```
5
Lattice="5.328 0.000 0.000 0.000 5.328 0.000 0.000 0.000 5.314" Properties=species:S:1:pos:R:3 pbc="T T T"
Sb 0.000 2.664 0.000
Sb 2.664 0.000 0.000
Te 0.000 0.000 2.657
Pd 2.664 2.664 0.000
I 2.664 2.664 2.657
```

=====

Relative energies, unit meV per atom: #1 8; #2 0

=====

#1
Material: VSb2PdI
Method: DFT, PBE
State: optimized geometry

Results
- D(E_F): 1.90 states/eV per atom
- Crystal system: tetragonal

```
5
Lattice="5.164 0.000 0.000 0.000 5.164 0.000 0.000 0.000 5.432" Properties=species:S:1:pos:R:3 pbc="T T T"
V 0.000 0.000 0.000
Sb 0.000 2.582 2.716
Sb 2.582 0.000 2.716
Pd 2.582 2.582 2.716
I 2.582 2.582 0.000
```

=====

#2
Material: VSb2PdI
Method: DFT, PBE
State: optimized geometry

Results
- D(E_F): 0.91 states/eV per atom
- Crystal system: tetragonal

```
5
Lattice="5.068 0.000 0.000 0.000 5.068 0.000 0.000 0.000 5.504" Properties=species:S:1:pos:R:3 pbc="T T T"
V 0.000 0.000 0.000
Sb 0.000 2.534 0.000
Sb 2.534 0.000 0.000
Pd 2.534 2.534 2.752
I 0.000 0.000 2.752
```

=====

Relative energies, unit meV per atom: #1 399; #2 0

=====

#1
Material: VSbPdI2
Method: DFT, PBE
State: optimized geometry

Results
- D(E_F): 2.23 states/eV per atom
- Crystal system: tetragonal

```
5
Lattice="5.396 0.000 0.000 0.000 5.396 0.000 0.000 0.000 5.311" Properties=species:S:1:pos:R:3 pbc="T T T"
V 0.000 0.000 0.000
Sb 2.698 2.698 0.000
Pd 2.698 2.698 2.656
I 0.000 2.698 2.656
I 2.698 0.000 2.656
```

=====

#2
Material: VSbPdI2
Method: DFT, PBE
State: optimized geometry

Results
- D(E_F): 1.24 states/eV per atom
- Crystal system: tetragonal

```
5
Lattice="5.313 0.000 0.000 0.000 5.313 0.000 0.000 0.000 5.199" Properties=species:S:1:pos:R:3 pbc="T T T"
V 0.000 0.000 0.000
Sb 0.000 0.000 2.600
Pd 2.656 2.656 2.600
I 0.000 2.656 0.000
I 2.656 0.000 0.000
```

=====

Relative energies, unit meV per atom: #1 312; #2 0